Density functional theory data (PBE+U) for an optimized crystal structure of V2CrNiO8.

Energy: -82.98 eV/cell
Crystal system: trigonal

Structure (POSCAR):
```
V2CrNiO8
1.0
5.637 0.000 0.000
-2.818 4.882 0.000
0.000 0.000 5.399
O Cr V Ni
8 1 2 1
direct
0.154 0.846 0.777
0.154 0.309 0.777
0.667 0.333 0.603
0.333 0.667 0.397
0.846 0.691 0.223
0.309 0.154 0.223
0.846 0.154 0.223
0.691 0.846 0.777
0.000 0.000 0.000
0.333 0.667 0.697
0.667 0.333 0.303
0.000 0.000 0.500
```